The following is a PBE calculation of a geometry-optimized Mn2Ag2GeS6 structure, from Alexandria.

Cell: 6.0033 6.0033 7.5613 Å, 97.62 97.62 119.78°
Last column: nearest neighbours and their distance in Å.
Positions (direct):
1 Mn 0.1603 0.8397 0.0000  6 S 2.30-2.37
2 Mn 0.8397 0.1603 0.0000  6 S 2.30-2.37
3 Ag 0.3246 0.6754 0.5000  2 S 2.39
4 Ag 0.6754 0.3246 0.5000  2 S 2.39
5 Ge 0.5000 0.5000 0.0000  6 S 2.44-2.47
6 S 0.0966 0.0966 0.8250  2 Mn 2.30, 1 Ge 2.44
7 S 0.2042 0.5566 0.1730  2 Mn 2.32-2.37, 1 Ag 2.39, 1 Ge 2.47
8 S 0.4434 0.7958 0.8270  2 Mn 2.32-2.37, 1 Ag 2.39, 1 Ge 2.47
9 S 0.5566 0.2042 0.1730  2 Mn 2.32-2.37, 1 Ag 2.39, 1 Ge 2.47
10 S 0.7958 0.4434 0.8270  2 Mn 2.32-2.37, 1 Ag 2.39, 1 Ge 2.47
11 S 0.9034 0.9034 0.1750  2 Mn 2.30, 1 Ge 2.44

Calculated values
Theoretical density, g/cm³: 4.3
Magnetization, Bohr magnetons per cell: 3.964
Energy relative to the elements, uncorrected, eV per atom: -0.34
Energy, eV per atom: -5.200